This record from Alexandria via LeMat-Bulk describes a geometry-optimized Sc2TaS6 structure. The functional is GGA-PBE.

Lattice parameters (Å, degrees): 6.022 6.022 11.032 90.00 90.00 90.00
Space group P4_2/mnm (No. 136)
Inequivalent atoms, fractional coordinates:
Sc 0.000 0.000 0.168 [4 per cell]
Ta 0.000 0.000 0.500 [2 per cell]
S 0.197 0.197 0.342 [8 per cell]
S 0.207 0.207 0.000 [4 per cell]

Calculated values
M_tot in μB per cell: 0.0
Energy in eV/atom: -6.715